This record from Alexandria via LeMat-Bulk describes a relaxed structure of BaNbCoO5. The functional is PBE with a Hubbard U.

## Properties
Total magnetization (μB per cell): 8.01
DFT total energy (eV per atom): -7.426

Cell: 5.978 5.978 7.655 Å, 102.86 102.86 108.19°
Atoms (fractional coordinates):
1 Ba 0.170 0.830 0.750
2 Ba 0.830 0.170 0.250
3 Nb 0.500 0.500 0.000
4 Nb 0.500 0.500 0.500
5 Co 0.184 0.816 0.250
6 Co 0.816 0.184 0.750
7 O 0.136 0.261 0.909
8 O 0.223 0.614 0.403
9 O 0.261 0.136 0.409
10 O 0.386 0.777 0.097
11 O 0.445 0.555 0.750
12 O 0.555 0.445 0.250
13 O 0.614 0.223 0.903
14 O 0.739 0.864 0.591
15 O 0.777 0.386 0.597
16 O 0.864 0.739 0.091